ZnSi2Pt2 | Alexandria via LeMat-Bulk | PBE | optimized geometry; uncorrected energy = -5.060 eV/atom; energy relative to the elements, uncorrected = -0.220 eV per atom
1.0
-0.016 -4.967 4.876
6.051 -2.419 -2.444
1.595 1.964 2.006
Zn Si Pt
2 4 4
Cartesian
0.000 0.000 0.000
3.018 -3.693 1.216
4.750 -1.362 0.154
5.909 -4.312 2.121
2.880 -4.060 4.283
1.722 -1.110 2.316
5.148 -3.807 -0.367
3.910 -5.799 2.568
0.887 -3.579 2.798
2.126 -1.587 -0.137